Below is crystalline Pr7YIn4 at its relaxed geometry, with properties calculated at the PBE-GGA level.

Summary:
As for the crystal system: monoclinic. The formation energy from the elements comes out at -1.74 eV per formula unit.

```
12
Lattice="-5.421 -0.204 2.259 0.812 -1.723 9.436 -2.011 6.901 3.440" Properties=species:S:1:pos:R:3 pbc="T T T"
Pr -4.656 1.970 11.932
Pr -1.963 3.005 3.203
Pr -0.380 0.778 6.800
Pr -6.239 4.197 8.335
Pr -2.556 4.196 9.529
Pr -2.710 -0.102 1.130
Pr -4.063 0.779 5.606
Y 0.000 0.000 0.000
In -4.105 3.876 5.783
In -2.514 1.098 9.352
In -5.101 5.415 11.175
In -1.518 -0.440 3.960
```

Below is crystalline YCd2Re at its relaxed geometry, with properties calculated at the PBE-GGA level.

Summary:
As for the crystal system: monoclinic. The formation energy from the elements comes out at 1.20 eV per formula unit. Its energy above the most stable polymorph in this dataset is 0.060 eV per atom.

```
4
Lattice="4.806 0.000 0.000 0.000 2.950 -0.002 0.000 1.858 5.761" Properties=species:S:1:pos:R:3 pbc="T T T"
Cd 0.000 0.179 0.116
Cd 0.000 2.225 2.764
Re 2.403 1.202 1.440
Y 2.403 3.606 4.319
```

Below is crystalline KLa4Cr at its relaxed geometry, with properties calculated at the PBE-GGA level.

Summary:
As for the crystal system: cubic. The formation energy from the elements comes out at 4.32 eV per formula unit.

```
6
Lattice="3.359 -5.063 3.099 -3.179 -3.868 4.631 -1.524 -6.489 -1.444" Properties=species:S:1:pos:R:3 pbc="T T T"
K 0.000 0.000 0.000
La 1.094 -8.287 3.873
La -1.240 -8.969 1.701
La -2.031 -7.716 4.606
La -0.512 -5.866 2.392
Cr -1.008 -11.564 4.714
```

Below is crystalline KMnW3 at its relaxed geometry, with properties calculated at the PBE-GGA level.

Summary:
As for the crystal system: cubic. The formation energy from the elements comes out at 19.47 eV per formula unit. Its energy above the most stable polymorph in this dataset is 2.086 eV per atom.

```
5
Lattice="4.433 0.000 0.000 0.000 4.433 0.000 0.000 0.000 4.433" Properties=species:S:1:pos:R:3 pbc="T T T"
K 0.000 0.000 0.000
Mn 2.216 2.216 2.216
W 0.000 2.216 0.000
W 0.000 0.000 2.216
W 2.216 0.000 0.000
```

Below is crystalline AcNiHg2 at its relaxed geometry, with properties calculated at the PBE-GGA level.

Summary:
As for the crystal system: monoclinic. The formation energy from the elements comes out at -1.20 eV per formula unit.

```
8
Lattice="-4.408 -3.673 -0.242 1.204 -5.519 -1.156 1.259 -3.976 5.910" Properties=species:S:1:pos:R:3 pbc="T T T"
Ac -0.034 -4.541 3.968
Ac -1.912 -8.626 0.544
Ni 0.425 -7.036 1.975
Ni -2.370 -6.132 2.537
Hg -1.062 -7.787 4.166
Hg -2.073 -10.739 3.715
Hg -0.883 -5.380 0.346
Hg 0.128 -2.429 0.797
```

Below is crystalline K2ZnTc at its relaxed geometry, with properties calculated at the PBE-GGA level.

Summary:
As for the crystal system: tetragonal. The formation energy from the elements comes out at 4.12 eV per formula unit.

```
8
Lattice="12.159 0.000 0.000 0.000 12.159 0.000 6.079 6.079 2.478" Properties=species:S:1:pos:R:3 pbc="T T T"
K 7.161 3.040 0.620
K 4.997 9.119 0.620
K 9.119 11.077 1.859
K 15.198 13.240 1.859
Zn 6.079 6.079 0.000
Zn 6.079 12.159 1.239
Tc 0.000 0.000 0.000
Tc 12.159 6.079 1.239
```

Below is crystalline Ac5Mg4Ag at its relaxed geometry, with properties calculated at the PBE-GGA level.

Summary:
As for the crystal system: tetragonal. The formation energy from the elements comes out at -1.18 eV per formula unit.

```
10
Lattice="-2.406 0.076 -3.313 0.585 -4.020 -0.517 -16.169 -3.850 11.651" Properties=species:S:1:pos:R:3 pbc="T T T"
Ac -2.436 -2.335 -0.816
Ac -5.704 -3.113 1.539
Ac -8.995 -3.897 3.911
Ac -12.286 -4.681 6.282
Ac -15.554 -5.459 8.637
Mg -3.196 -0.761 2.303
Mg -6.432 -1.532 4.635
Mg -9.737 -2.319 7.016
Mg -12.974 -3.089 9.349
Ag 0.000 0.000 0.000
```

Below is crystalline SrU2MnS8 at its relaxed geometry, with properties calculated at the PBE-GGA level.

Summary:
As for the crystal system: monoclinic. The electronic total energy is -6.635 eV per atom.

```
12
Lattice="6.284 0.237 -0.005 0.283 6.053 -0.007 0.005 0.009 8.154" Properties=species:S:1:pos:R:3 pbc="T T T"
Sr 0.003 0.004 4.077
U 3.287 3.152 6.164
U 3.285 3.147 1.979
Mn 0.000 0.000 0.000
S 1.337 4.711 1.691
S 4.330 4.451 8.146
S 5.232 1.583 1.692
S 5.235 1.588 6.452
S 2.243 1.848 -0.004
S 1.340 4.716 6.451
S 4.243 4.409 4.069
S 2.329 1.891 4.073
```

Below is crystalline LiCo2Ni2 at its relaxed geometry, with properties calculated at the PBE-GGA level.

Summary:
As for the crystal system: tetragonal. The formation energy from the elements comes out at 0.41 eV per formula unit. Its energy above the most stable polymorph in this dataset is 0.000 eV per atom.

```
10
Lattice="-4.648 -5.127 -1.248 5.142 -4.028 -2.605 0.413 -0.917 2.232" Properties=species:S:1:pos:R:3 pbc="T T T"
Ni 2.863 -4.058 -0.854
Ni 1.328 -7.240 -1.878
Ni -1.957 -6.013 -0.767
Ni -0.422 -2.832 0.257
Co 2.758 -5.483 -2.763
Co -0.892 -7.007 -2.715
Co -2.264 -3.671 -1.090
Co 1.386 -2.147 -1.138
Li 0.000 0.000 0.000
Li 0.247 -4.577 -1.926
```

Below is crystalline LiTbEuMn at its relaxed geometry, with properties calculated at the PBE-GGA level.

Summary:
As for the crystal system: cubic. The formation energy from the elements comes out at 0.78 eV per formula unit.

```
4
Lattice="5.178 0.000 0.000 2.589 4.484 0.000 2.589 1.495 4.227" Properties=species:S:1:pos:R:3 pbc="T T T"
Eu 5.178 2.989 2.114
Mn 7.766 4.484 3.171
Tb 0.000 0.000 0.000
Li 2.589 1.495 1.057
```

Below is crystalline TbScPd2 at its relaxed geometry, with properties calculated at the PBE-GGA level.

Summary:
As for the crystal system: cubic. The formation energy from the elements comes out at -3.40 eV per formula unit. Its energy above the most stable polymorph in this dataset is 0.044 eV per atom.

```
4
Lattice="4.849 0.000 0.000 2.425 4.200 0.000 2.425 1.400 3.959" Properties=species:S:1:pos:R:3 pbc="T T T"
Sc 4.849 2.800 1.980
Tb 0.000 0.000 0.000
Pd 2.425 1.400 0.990
Pd 7.274 4.200 2.970
```

Below is crystalline AcCo2C at its relaxed geometry, with properties calculated at the PBE-GGA level.

Summary:
As for the crystal system: trigonal. The formation energy from the elements comes out at 1.38 eV per formula unit.

```
4
Lattice="-0.318 0.746 -3.541 -2.749 -1.407 -1.913 -3.976 3.986 -0.667" Properties=species:S:1:pos:R:3 pbc="T T T"
Ac 0.000 0.000 0.000
Co -4.799 1.806 -4.779
Co -2.244 1.519 -1.342
C -3.521 1.663 -3.060
```